Density functional theory data (PBE) for a relaxed ScCuB4 crystal.

Output
ΔE to the lowest computed polymorph: 0.58 eV/f.u.
VASP energy: -6.394 eV/atom
Symmetry: No. 71

Unit cell a=4.6146 b=4.6146 c=4.6146 alpha=140.81 beta=111.66 gamma=81.71
With the nearest neighbours (Å) after each atom.
Fractional positions:
B 0.5857 0.2629 0.3228  3 B 1.73-1.84
B 0.0600 0.7371 0.3228  3 B 1.73-1.84
B 0.9400 0.2629 0.6772  3 B 1.73-1.84
B 0.4143 0.7371 0.6772  3 B 1.73-1.84
Cu 0.5000 0.5000 0.0000  12 B 2.35-2.57
Sc 0.0000 0.0000 0.0000  12 B 2.45-2.48